# 1
{"formula": "TcMoRh2", "functional": "GGA-PBE", "state": "relaxed", "lattice": [[1.377, 0.795, 8.996], [-1.377, 0.795, 8.996], [0.000, -1.590, 8.996]], "species": ["Tc", "Mo", "Rh", "Rh"], "frac_coords": [[0.000, 0.000, 0.000], [0.245, 0.245, 0.245], [0.498, 0.498, 0.498], [0.745, 0.745, 0.745]], "e_above_lowest_polymorph_mev_per_atom": 200.2, "formation_enthalpy_0k_ev_per_atom": -0.009, "density_g_cm3": 11.2, "spacegroup": "No. 160"}

---

# 2
{"formula": "YCoPb2", "functional": "GGA-PBE", "state": "relaxed", "lattice": [[-1.773, 2.423, 5.577], [1.773, -2.423, 5.577], [1.773, 2.423, -5.577]], "species": ["Y", "Co", "Pb", "Pb"], "frac_coords": [[0.000, 0.000, 0.000], [0.204, 0.704, 0.500], [0.399, 0.399, 0.000], [0.697, 0.197, 0.500]], "e_above_lowest_polymorph_mev_per_atom": 77.2, "formation_enthalpy_0k_ev_per_atom": 0.070, "density_g_cm3": 9.7, "spacegroup": "No. 44"}

---

# 3
{"formula": "LiScGeO4", "functional": "GGA-PBE", "state": "relaxed", "lattice": [[10.776, 0.000, 0.000], [0.000, 6.056, 0.000], [0.000, 0.000, 5.026]], "species": ["Li", "Li", "Li", "Li", "Sc", "Sc", "Sc", "Sc", "Ge", "Ge", "Ge", "Ge", "O", "O", "O", "O", "O", "O", "O", "O", "O", "O", "O", "O", "O", "O", "O", "O"], "frac_coords": [[0.000, 0.000, 0.000], [0.000, 0.500, 0.000], [0.500, 0.000, 0.500], [0.500, 0.500, 0.500], [0.228, 0.250, 0.495], [0.272, 0.750, 0.995], [0.728, 0.250, 0.005], [0.772, 0.750, 0.505], [0.090, 0.750, 0.549], [0.410, 0.250, 0.049], [0.590, 0.750, 0.951], [0.910, 0.250, 0.451], [0.058, 0.250, 0.301], [0.097, 0.750, 0.202], [0.174, 0.530, 0.714], [0.174, 0.970, 0.714], [0.326, 0.030, 0.214], [0.326, 0.470, 0.214], [0.403, 0.250, 0.702], [0.442, 0.750, 0.801], [0.558, 0.250, 0.199], [0.597, 0.750, 0.298], [0.674, 0.530, 0.786], [0.674, 0.970, 0.786], [0.826, 0.030, 0.286], [0.826, 0.470, 0.286], [0.903, 0.250, 0.798], [0.942, 0.750, 0.699]], "e_above_lowest_polymorph_mev_per_atom": 0.0, "density_g_cm3": 3.8, "spacegroup": "No. 62"}

---

# 4
{"formula": "Pr4Tl5In", "functional": "GGA-PBE", "state": "relaxed", "lattice": [[5.135, 0.000, 0.000], [-0.009, 6.756, 0.000], [-2.556, -2.955, 8.614]], "species": ["Pr", "Pr", "Pr", "Pr", "Tl", "Tl", "Tl", "Tl", "Tl", "In"], "frac_coords": [[0.087, 0.338, 0.174], [0.302, 0.890, 0.605], [0.698, 0.110, 0.395], [0.913, 0.662, 0.826], [0.104, 0.843, 0.208], [0.295, 0.390, 0.589], [0.500, 0.500, 0.000], [0.705, 0.610, 0.411], [0.896, 0.157, 0.792], [0.500, 0.000, 0.000]], "e_above_lowest_polymorph_mev_per_atom": 0.0, "formation_enthalpy_0k_ev_per_atom": -0.359, "density_g_cm3": 9.4, "spacegroup": "No. 2"}

---

# 5
{"formula": "ZrGa2Pd7", "functional": "GGA-PBE", "state": "relaxed", "lattice": [[-2.039, 2.039, 10.009], [2.039, -2.039, 10.009], [2.039, 2.039, -10.009]], "species": ["Zr", "Ga", "Ga", "Pd", "Pd", "Pd", "Pd", "Pd", "Pd", "Pd"], "frac_coords": [[0.000, 0.000, 0.000], [0.325, 0.325, 0.000], [0.675, 0.675, 0.000], [0.099, 0.599, 0.500], [0.250, 0.750, 0.500], [0.401, 0.901, 0.500], [0.500, 0.500, 0.000], [0.599, 0.099, 0.500], [0.750, 0.250, 0.500], [0.901, 0.401, 0.500]], "e_above_lowest_polymorph_mev_per_atom": 0.0, "formation_enthalpy_0k_ev_per_atom": -0.639, "density_g_cm3": 9.7, "spacegroup": "No. 139"}

---

# 6
{"formula": "UH3Pt", "functional": "GGA-PBE", "state": "relaxed", "lattice": [[3.741, 0.000, 0.000], [0.000, 3.741, 0.000], [0.000, 0.000, 3.741]], "species": ["U", "H", "H", "H", "Pt"], "frac_coords": [[0.000, 0.000, 0.000], [0.000, 0.500, 0.500], [0.500, 0.000, 0.500], [0.500, 0.500, 0.000], [0.500, 0.500, 0.500]], "energy_ev_per_atom": -5.652, "density_g_cm3": 13.8, "spacegroup": "No. 221"}

---

# 7
{"formula": "CsBe2HgS", "functional": "GGA-PBE", "state": "relaxed", "lattice": [[7.462, 0.000, 0.000], [0.000, 7.462, 0.000], [0.000, 0.000, 5.864]], "species": ["Cs", "Be", "Be", "Hg", "S"], "frac_coords": [[0.000, 0.000, 0.000], [0.000, 0.500, 0.000], [0.500, 0.000, 0.000], [0.500, 0.500, 0.500], [0.000, 0.000, 0.500]], "energy_ev_per_atom": -1.045, "density_g_cm3": 2.0, "spacegroup": "No. 123"}

---

# 8
{"formula": "Ca2Al2Sn", "functional": "GGA-PBE", "state": "relaxed", "lattice": [[7.348, 0.000, 0.000], [0.000, 7.348, 0.000], [0.000, 0.000, 4.811]], "species": ["Ca", "Ca", "Ca", "Ca", "Al", "Al", "Al", "Al", "Sn", "Sn"], "frac_coords": [[0.173, 0.327, 0.000], [0.327, 0.827, 0.000], [0.673, 0.173, 0.000], [0.827, 0.673, 0.000], [0.126, 0.626, 0.500], [0.374, 0.126, 0.500], [0.626, 0.874, 0.500], [0.874, 0.374, 0.500], [0.000, 0.000, 0.500], [0.500, 0.500, 0.500]], "formation_enthalpy_0k_ev_per_atom": -0.316, "density_g_cm3": 3.2, "spacegroup": "No. 127"}

---

# 9
{"formula": "TbPm2HoTl2", "functional": "GGA-PBE", "state": "relaxed", "lattice": [[5.154, 0.000, 0.000], [0.000, 10.160, 0.000], [0.000, 0.000, 6.861]], "species": ["Tb", "Tb", "Pm", "Pm", "Pm", "Pm", "Ho", "Ho", "Tl", "Tl", "Tl", "Tl"], "frac_coords": [[0.000, 0.041, 0.000], [0.000, 0.959, 0.500], [0.000, 0.314, 0.366], [0.000, 0.686, 0.866], [0.500, 0.458, 0.093], [0.500, 0.542, 0.593], [0.500, 0.184, 0.719], [0.500, 0.816, 0.219], [0.000, 0.357, 0.836], [0.000, 0.643, 0.336], [0.500, 0.127, 0.256], [0.500, 0.873, 0.756]], "formation_enthalpy_0k_ev_per_atom": -0.271, "density_g_cm3": 9.5, "spacegroup": "No. 26"}

---

# 10
{"formula": "Tb3Ga2Ni9", "functional": "GGA-PBE", "state": "relaxed", "lattice": [[-1.994, 4.361, 6.094], [1.994, -4.361, 6.094], [1.994, 4.361, -6.094]], "species": ["Tb", "Tb", "Tb", "Ga", "Ga", "Ni", "Ni", "Ni", "Ni", "Ni", "Ni", "Ni", "Ni", "Ni"], "frac_coords": [[0.000, 0.000, 0.000], [0.303, 0.303, 0.000], [0.697, 0.697, 0.000], [0.285, 0.500, 0.785], [0.715, 0.500, 0.215], [0.030, 0.682, 0.348], [0.159, 0.883, 0.277], [0.334, 0.682, 0.652], [0.394, 0.117, 0.277], [0.500, 0.000, 0.500], [0.606, 0.883, 0.723], [0.666, 0.318, 0.348], [0.841, 0.117, 0.723], [0.970, 0.318, 0.652]], "formation_enthalpy_0k_ev_per_atom": -0.383, "density_g_cm3": 9.0, "spacegroup": "No. 71"}

---

# 11
{"formula": "Ta3P4", "functional": "GGA-PBE", "state": "relaxed", "lattice": [[5.570, 0.000, 0.000], [-2.785, 4.824, 0.000], [0.000, 0.000, 4.255]], "species": ["Ta", "Ta", "Ta", "P", "P", "P", "P"], "frac_coords": [[0.000, 0.500, 0.000], [0.500, 0.000, 0.000], [0.500, 0.500, 0.000], [0.000, 0.000, 0.254], [0.000, 0.000, 0.746], [0.333, 0.667, 0.500], [0.667, 0.333, 0.500]], "formation_enthalpy_0k_ev_per_atom": 0.031, "density_g_cm3": 9.7, "spacegroup": "No. 191"}

---

# 12
{"formula": "Sr2Ga4NiPd3", "functional": "GGA-PBE", "state": "relaxed", "lattice": [[4.412, 0.000, 0.000], [0.000, 4.412, 0.000], [0.000, 0.000, 10.308]], "species": ["Sr", "Sr", "Ga", "Ga", "Ga", "Ga", "Ni", "Pd", "Pd", "Pd"], "frac_coords": [[0.000, 0.500, 0.242], [0.500, 0.000, 0.758], [0.000, 0.000, 0.500], [0.000, 0.500, 0.885], [0.500, 0.000, 0.115], [0.500, 0.500, 0.500], [0.500, 0.500, 0.000], [0.000, 0.000, 0.000], [0.000, 0.500, 0.633], [0.500, 0.000, 0.367]], "formation_enthalpy_0k_ev_per_atom": -0.637, "density_g_cm3": 6.9, "spacegroup": "No. 115"}

---

# 13
{"formula": "Li3VBr", "functional": "GGA-PBE", "state": "relaxed", "lattice": [[4.890, 0.000, 0.000], [0.000, 4.890, 0.000], [0.000, 0.000, 4.890]], "species": ["Li", "Li", "Li", "V", "Br"], "frac_coords": [[0.000, 0.000, 0.500], [0.000, 0.500, 0.000], [0.500, 0.000, 0.000], [0.500, 0.500, 0.500], [0.000, 0.000, 0.000]], "e_above_lowest_polymorph_mev_per_atom": 0.0, "density_g_cm3": 2.2, "spacegroup": "No. 221"}

---

# 14
{"formula": "DyCdInRh", "functional": "GGA-PBE", "state": "relaxed", "lattice": [[0.000, 3.461, 3.461], [3.461, 0.000, 3.461], [3.461, 3.461, 0.000]], "species": ["Dy", "Cd", "In", "Rh"], "frac_coords": [[0.000, 0.000, 0.000], [0.750, 0.750, 0.750], [0.500, 0.500, 0.500], [0.250, 0.250, 0.250]], "formation_enthalpy_0k_ev_per_atom": -0.406, "density_g_cm3": 9.9, "spacegroup": "No. 216"}

---

# 15
{"formula": "CsNaLi2Pb", "functional": "GGA-PBE", "state": "relaxed", "lattice": [[5.574, 0.000, 0.000], [0.000, 5.574, 0.000], [0.000, 0.000, 6.034]], "species": ["Cs", "Na", "Li", "Li", "Pb"], "frac_coords": [[0.000, 0.000, 0.000], [0.500, 0.500, 0.000], [0.000, 0.500, 0.500], [0.500, 0.000, 0.500], [0.500, 0.500, 0.500]], "formation_enthalpy_0k_ev_per_atom": -0.126, "density_g_cm3": 3.3, "spacegroup": "No. 123"}

---

# 16
{"formula": "Ce3Co", "functional": "GGA-PBE", "state": "relaxed", "lattice": [[-1.675, 4.897, 2.769], [1.675, -4.897, 2.769], [1.675, 4.897, -2.769]], "species": ["Ce", "Ce", "Ce", "Co"], "frac_coords": [[0.000, 0.000, 0.000], [0.359, 0.557, 0.802], [0.756, 0.557, 0.198], [0.389, 0.889, 0.500]], "formation_enthalpy_0k_ev_per_atom": -0.047, "density_g_cm3": 8.8, "spacegroup": "No. 44"}

---

# 17
{"formula": "LiMnC2", "functional": "GGA-PBE", "state": "relaxed", "lattice": [[-2.269, 2.269, 5.114], [2.269, -2.269, 5.114], [2.269, 2.269, -5.114]], "species": ["Li", "Li", "Mn", "Mn", "C", "C", "C", "C"], "frac_coords": [[0.000, 0.000, 0.000], [0.750, 0.250, 0.500], [0.250, 0.750, 0.500], [0.500, 0.500, 0.000], [0.278, 0.625, 0.153], [0.375, 0.528, 0.653], [0.472, 0.125, 0.847], [0.875, 0.722, 0.347]], "e_above_lowest_polymorph_mev_per_atom": 0.0, "formation_enthalpy_0k_ev_per_atom": 0.723, "density_g_cm3": 2.7, "spacegroup": "No. 122"}

---

# 18
{"formula": "EuPuAgBi", "functional": "GGA-PBE", "state": "relaxed", "lattice": [[0.000, 3.862, 3.862], [3.862, 0.000, 3.862], [3.862, 3.862, 0.000]], "species": ["Eu", "Pu", "Ag", "Bi"], "frac_coords": [[0.000, 0.000, 0.000], [0.500, 0.500, 0.500], [0.250, 0.250, 0.250], [0.750, 0.750, 0.750]], "formation_enthalpy_0k_ev_per_atom": -0.344, "density_g_cm3": 10.3, "spacegroup": "No. 216"}

---

# 19
{"formula": "SmScBi2", "functional": "GGA-PBE", "state": "relaxed", "lattice": [[2.193, 1.266, 7.516], [-2.193, 1.266, 7.516], [0.000, -2.532, 7.516]], "species": ["Sm", "Sc", "Bi", "Bi"], "frac_coords": [[0.000, 0.000, 0.000], [0.830, 0.830, 0.830], [0.419, 0.419, 0.419], [0.577, 0.577, 0.577]], "e_above_lowest_polymorph_mev_per_atom": 105.7, "formation_enthalpy_0k_ev_per_atom": -0.679, "density_g_cm3": 8.1, "spacegroup": "No. 160"}

---

# 20
{"formula": "Mg2Sc2Zn3", "functional": "GGA-PBE", "state": "relaxed", "lattice": [[4.681, 0.000, 0.000], [2.333, 4.066, 0.000], [2.316, 1.343, 7.300]], "species": ["Mg", "Mg", "Sc", "Sc", "Zn", "Zn", "Zn"], "frac_coords": [[0.132, 0.133, 0.102], [0.868, 0.867, 0.898], [0.386, 0.386, 0.343], [0.614, 0.614, 0.657], [0.000, 0.000, 0.500], [0.257, 0.256, 0.729], [0.743, 0.744, 0.271]], "formation_enthalpy_0k_ev_per_atom": -0.173, "density_g_cm3": 4.0, "spacegroup": "No. 2"}

---

# 21
{"formula": "Sr2InSn2", "functional": "GGA-PBE", "state": "relaxed", "lattice": [[8.037, 0.000, 0.000], [0.000, 8.037, 0.000], [0.000, 0.000, 10.137]], "species": ["Sr", "Sr", "Sr", "Sr", "Sr", "Sr", "Sr", "Sr", "In", "In", "In", "In", "Sn", "Sn", "Sn", "Sn", "Sn", "Sn", "Sn", "Sn"], "frac_coords": [[0.168, 0.328, 0.000], [0.172, 0.332, 0.500], [0.328, 0.832, 0.000], [0.332, 0.828, 0.500], [0.668, 0.172, 0.500], [0.672, 0.168, 0.000], [0.828, 0.668, 0.500], [0.832, 0.672, 0.000], [0.000, 0.000, 0.212], [0.000, 0.000, 0.788], [0.500, 0.500, 0.288], [0.500, 0.500, 0.712], [0.131, 0.631, 0.250], [0.131, 0.631, 0.750], [0.369, 0.131, 0.250], [0.369, 0.131, 0.750], [0.631, 0.869, 0.250], [0.631, 0.869, 0.750], [0.869, 0.369, 0.250], [0.869, 0.369, 0.750]], "e_above_lowest_polymorph_mev_per_atom": 15.6, "formation_enthalpy_0k_ev_per_atom": -0.537, "density_g_cm3": 5.4, "spacegroup": "No. 128"}

---

# 22
{"formula": "Ag4Pt3", "functional": "GGA-PBE", "state": "relaxed", "lattice": [[-1.663, 1.663, 10.771], [1.663, -1.663, 10.771], [1.663, 1.663, -10.771]], "species": ["Ag", "Ag", "Ag", "Ag", "Pt", "Pt", "Pt"], "frac_coords": [[0.071, 0.071, 0.000], [0.356, 0.356, 0.000], [0.644, 0.644, 0.000], [0.929, 0.929, 0.000], [0.220, 0.220, 0.000], [0.500, 0.500, 0.000], [0.780, 0.780, 0.000]], "e_above_lowest_polymorph_mev_per_atom": 111.7, "formation_enthalpy_0k_ev_per_atom": 0.110, "density_g_cm3": 14.2, "spacegroup": "No. 139"}

---

# 23
{"formula": "TaCu2H2", "functional": "GGA-PBE", "state": "relaxed", "lattice": [[4.993, 0.000, 0.000], [0.000, 4.993, 0.000], [0.000, 0.000, 4.029]], "species": ["Ta", "Ta", "Cu", "Cu", "Cu", "Cu", "H", "H", "H", "H"], "frac_coords": [[0.000, 0.000, 0.000], [0.500, 0.500, 0.000], [0.175, 0.325, 0.500], [0.325, 0.825, 0.500], [0.675, 0.175, 0.500], [0.825, 0.675, 0.500], [0.149, 0.351, 0.000], [0.351, 0.851, 0.000], [0.649, 0.149, 0.000], [0.851, 0.649, 0.000]], "energy_ev_per_atom": -5.186, "density_g_cm3": 10.3, "spacegroup": "No. 127"}

---

# 24
{"formula": "CePmPaN3", "functional": "GGA-PBE", "state": "relaxed", "lattice": [[5.974, 0.000, 0.000], [0.000, 3.478, 0.000], [-0.431, 0.000, 9.547]], "species": ["Ce", "Ce", "Pm", "Pm", "Pa", "Pa", "N", "N", "N", "N", "N", "N"], "frac_coords": [[0.203, 0.250, 0.114], [0.797, 0.750, 0.886], [0.265, 0.250, 0.758], [0.735, 0.750, 0.242], [0.246, 0.750, 0.440], [0.754, 0.250, 0.560], [0.009, 0.750, 0.633], [0.205, 0.750, 0.948], [0.487, 0.250, 0.365], [0.513, 0.750, 0.635], [0.795, 0.250, 0.052], [0.991, 0.250, 0.367]], "energy_ev_per_atom": -8.941, "density_g_cm3": 9.3, "spacegroup": "No. 11"}